[1]
Here is crystalline LaReAg2 at its relaxed geometry from Alexandria. Energies are from PBE.

Computed properties:
The polymorph energy (0 for the lowest one) is 25.4 kJ/mol of atoms. For the total DFT energy (no corrections), the calculation gives -20.35 eV/cell. The energy relative to the elements is 0.68 eV/atom.

Cell and atoms, written as POSCAR:
```
LaReAg2
1.0
-0.074 8.142 6.856
-2.196 6.521 8.122
0.642 6.004 8.766
Re La Ag
1 1 2
direct
0.750 0.750 0.750
0.250 0.250 0.250
0.010 0.010 0.010
0.490 0.490 0.490
```

=====

[2]
Here is crystalline LaReAg2 at its relaxed geometry from Alexandria. Energies are from PBE.

Computed properties:
The polymorph energy (0 for the lowest one) is 6.7 kJ/mol of atoms. For the total DFT energy (no corrections), the calculation gives -21.12 eV/cell. The energy relative to the elements is 0.49 eV/atom.

Cell and atoms, written as POSCAR:
```
LaReAg2
1.0
5.514 0.003 0.000
2.257 5.031 0.000
-3.886 -2.517 2.996
Ag Re La
2 1 1
direct
0.000 0.000 0.000
0.500 0.500 0.000
0.750 0.250 0.500
0.250 0.750 0.500
```

=====

[3]
Here is crystalline LaReAg2 at its relaxed geometry from Alexandria. Energies are from PBE.

Computed properties:
The polymorph energy (0 for the lowest one) is 22.5 kJ/mol of atoms. For the total DFT energy (no corrections), the calculation gives -20.47 eV/cell. The energy relative to the elements is 0.65 eV/atom.

Cell and atoms, written as POSCAR:
```
LaReAg2
1.0
4.941 0.000 0.000
2.471 4.279 0.000
2.471 1.426 4.035
Ag Re La
2 1 1
direct
0.000 0.000 0.000
0.750 0.750 0.750
0.250 0.250 0.250
0.500 0.500 0.500
```

=====

[4]
Here is crystalline LaReAg2 at its relaxed geometry from Alexandria. Energies are from PBE.

Computed properties:
The polymorph energy (0 for the lowest one) is 14.8 kJ/mol of atoms. For the total DFT energy (no corrections), the calculation gives -20.78 eV/cell. The energy relative to the elements is 0.57 eV/atom.

Cell and atoms, written as POSCAR:
```
LaReAg2
1.0
5.350 -0.073 -0.364
1.928 4.991 0.364
-3.436 -2.759 3.057
Ag La Re
2 1 1
direct
0.750 0.250 0.500
0.000 0.000 0.000
0.500 0.500 0.000
0.250 0.750 0.500
```

=====

[5]
Here is crystalline LaReAg at its relaxed geometry from Alexandria. Energies are from PBE.

Computed properties:
The polymorph energy (0 for the lowest one) is 1.0 kJ/mol of atoms. For the total DFT energy (no corrections), the calculation gives -18.41 eV/cell. The energy relative to the elements is 0.61 eV/atom.

Cell and atoms, written as POSCAR:
```
LaReAg
1.0
5.055 0.000 0.000
-2.527 4.377 0.000
0.000 0.000 2.881
Re La Ag
1 1 1
direct
0.333 0.667 0.835
0.667 0.333 0.334
0.000 0.000 0.832
```

=====

[6]
Here is crystalline LaRe2Ag at its relaxed geometry from Alexandria. Energies are from PBE.

Computed properties:
The polymorph energy (0 for the lowest one) is 23.6 kJ/mol of atoms. For the total DFT energy (no corrections), the calculation gives -30.80 eV/cell. The energy relative to the elements is 0.47 eV/atom.

Cell and atoms, written as POSCAR:
```
LaRe2Ag
1.0
4.409 -0.007 0.003
3.128 3.106 0.003
1.368 0.562 6.516
La Ag Re
1 1 2
direct
0.256 0.256 0.228
0.485 0.485 0.560
0.019 0.019 0.914
0.740 0.740 0.798
```

=====

[7]
Here is crystalline LaReAg2 at its relaxed geometry from Alexandria. Energies are from PBE.

Computed properties:
The polymorph energy (0 for the lowest one) is 4.8 kJ/mol of atoms. For the total DFT energy (no corrections), the calculation gives -21.20 eV/cell. The energy relative to the elements is 0.47 eV/atom.

Cell and atoms, written as POSCAR:
```
LaReAg2
1.0
5.152 0.000 0.000
0.000 3.011 0.003
0.000 1.269 5.267
La Ag Re
1 2 1
direct
0.500 0.250 0.250
0.000 0.588 0.528
0.000 0.912 0.972
0.500 0.750 0.750
```

=====

[8]
Here is crystalline LaRe2Ag at its relaxed geometry from Alexandria. Energies are from PBE.

Computed properties:
The polymorph energy (0 for the lowest one) is 55.4 kJ/mol of atoms. For the total DFT energy (no corrections), the calculation gives -29.48 eV/cell. The energy relative to the elements is 0.80 eV/atom.

Cell and atoms, written as POSCAR:
```
LaRe2Ag
1.0
4.783 0.000 0.000
0.000 4.044 0.000
0.000 0.000 4.044
Re Ag La
2 1 1
direct
0.000 0.000 0.000
0.000 0.500 0.500
0.500 0.500 0.000
0.500 0.000 0.500
```

=====

[9]
Here is crystalline LaReAg at its relaxed geometry from Alexandria. Energies are from PBE.

Computed properties:
The polymorph energy (0 for the lowest one) is 2.0 kJ/mol of atoms. For the total DFT energy (no corrections), the calculation gives -18.38 eV/cell. The energy relative to the elements is 0.61 eV/atom.

Cell and atoms, written as POSCAR:
```
LaReAg
1.0
7.655 -0.005 0.000
6.578 3.915 0.000
-7.116 -1.955 2.033
Re La Ag
1 1 1
direct
0.656 0.656 0.000
0.328 0.328 0.000
0.016 0.016 0.000
```

=====

[10]
Here is crystalline LaReAg2 at its relaxed geometry from Alexandria. Energies are from PBE.

Computed properties:
The polymorph energy (0 for the lowest one) is 5.8 kJ/mol of atoms. For the total DFT energy (no corrections), the calculation gives -21.16 eV/cell. The energy relative to the elements is 0.48 eV/atom.

Cell and atoms, written as POSCAR:
```
LaReAg2
1.0
-3.878 1.216 -1.172
0.635 -1.667 -3.829
-1.696 -3.999 1.460
Re Ag La
1 2 1
direct
0.000 0.500 0.500
0.000 0.000 0.000
0.500 0.500 0.000
0.500 0.000 0.500
```

=====

[11]
Here is crystalline LaRe2Ag at its relaxed geometry from Alexandria. Energies are from PBE.

Computed properties:
The polymorph energy (0 for the lowest one) is 66.2 kJ/mol of atoms. For the total DFT energy (no corrections), the calculation gives -29.03 eV/cell. The energy relative to the elements is 0.91 eV/atom.

Cell and atoms, written as POSCAR:
```
LaRe2Ag
1.0
-7.301 -7.687 0.570
-5.069 -9.329 -0.120
-5.559 -8.660 2.613
Ag Re La
1 2 1
direct
0.250 0.250 0.250
0.507 0.507 0.507
0.993 0.993 0.993
0.750 0.750 0.750
```

=====

[12]
Here is crystalline LaRe2Ag at its relaxed geometry from Alexandria. Energies are from PBE.

Computed properties:
The polymorph energy (0 for the lowest one) is 46.7 kJ/mol of atoms. For the total DFT energy (no corrections), the calculation gives -29.84 eV/cell. The energy relative to the elements is 0.71 eV/atom.

Cell and atoms, written as POSCAR:
```
LaRe2Ag
1.0
-2.687 -1.432 3.676
1.898 -2.736 3.420
0.756 1.804 4.354
La Re Ag
1 2 1
direct
0.750 0.750 0.750
0.000 0.000 0.000
0.250 0.250 0.250
0.500 0.500 0.500
```